Density functional theory data (GGA-PBE) for RbNiRh2 after structural relaxation.

Values from the calculation:
- crystal system = tetragonal
- formation energy (eV per atom) = 0.917
- D(E_F) (states/eV/cell) = 12.1
- distance to the lowest polymorph of the same formula (eV/f.u.) = 0.00

```
RbNiRh2
1.0
-2.5271 2.5271 8.1697
2.5271 -2.5271 8.1697
2.5271 2.5271 -8.1697
Rb Ni Rh
2 2 4
direct
0.0000 0.0000 0.0000
0.7500 0.2500 0.5000
0.2500 0.7500 0.5000
0.5000 0.5000 0.0000
0.3436 0.6250 0.2186
0.3750 0.5936 0.7186
0.4064 0.1250 0.7814
0.8750 0.6564 0.2814
```